[1]
{"formula": "TbErRuPt", "functional": "PBE", "state": "relaxed", "magmom_total_mub_per_atom": 0.000, "dos_ef_per_ev_atom": 0.37, "formation_energy_ev_per_atom": -0.85, "cell": [[3.4630, 0.0000, 0.0000], [0.0000, 3.4630, 0.0000], [0.0000, 0.0000, 6.7664]], "species": ["Tb", "Er", "Ru", "Pt"], "frac_coords": [[0.0000, 0.0000, 0.0000], [0.0000, 0.0000, 0.4895], [0.5000, 0.5000, 0.2483], [0.5000, 0.5000, 0.7396]]}


[2]
{"formula": "TbErRuPt", "functional": "PBE", "state": "relaxed", "magmom_total_mub_per_atom": 0.000, "dos_ef_per_ev_atom": 0.52, "formation_energy_ev_per_atom": -0.80, "cell": [[6.8709, 0.0000, 0.0000], [0.0000, 6.8709, 0.0000], [0.0000, 0.0000, 6.8709]], "species": ["Tb", "Tb", "Tb", "Tb", "Er", "Er", "Er", "Er", "Ru", "Ru", "Ru", "Ru", "Pt", "Pt", "Pt", "Pt"], "frac_coords": [[0.0000, 0.0000, 0.0000], [0.0000, 0.5000, 0.5000], [0.5000, 0.0000, 0.5000], [0.5000, 0.5000, 0.0000], [0.0000, 0.0000, 0.5000], [0.0000, 0.5000, 0.0000], [0.5000, 0.0000, 0.0000], [0.5000, 0.5000, 0.5000], [0.2500, 0.2500, 0.7500], [0.2500, 0.7500, 0.2500], [0.7500, 0.2500, 0.2500], [0.7500, 0.7500, 0.7500], [0.2500, 0.2500, 0.2500], [0.2500, 0.7500, 0.7500], [0.7500, 0.2500, 0.7500], [0.7500, 0.7500, 0.2500]]}


[3]
{"formula": "ErThRuPt", "functional": "PBE", "state": "relaxed", "magmom_total_mub_per_atom": 0.000, "dos_ef_per_ev_atom": 0.49, "formation_energy_ev_per_atom": -0.76, "cell": [[7.0311, 0.0000, 0.0000], [0.0000, 7.0311, 0.0000], [0.0000, 0.0000, 7.0311]], "species": ["Er", "Er", "Er", "Er", "Th", "Th", "Th", "Th", "Ru", "Ru", "Ru", "Ru", "Pt", "Pt", "Pt", "Pt"], "frac_coords": [[0.0000, 0.0000, 0.0000], [0.0000, 0.5000, 0.5000], [0.5000, 0.0000, 0.5000], [0.5000, 0.5000, 0.0000], [0.0000, 0.0000, 0.5000], [0.0000, 0.5000, 0.0000], [0.5000, 0.0000, 0.0000], [0.5000, 0.5000, 0.5000], [0.2500, 0.2500, 0.2500], [0.2500, 0.7500, 0.7500], [0.7500, 0.2500, 0.7500], [0.7500, 0.7500, 0.2500], [0.2500, 0.2500, 0.7500], [0.2500, 0.7500, 0.2500], [0.7500, 0.2500, 0.2500], [0.7500, 0.7500, 0.7500]]}


[4]
{"formula": "Er5Tl2Ru2Pt", "functional": "PBE", "state": "relaxed", "magmom_total_mub_per_atom": 0.000, "dos_ef_per_ev_atom": 0.48, "formation_energy_ev_per_atom": -0.49, "cell": [[11.6989, 0.0000, 0.0000], [0.0000, 11.6989, 0.0000], [0.0000, 0.0000, 3.4644]], "species": ["Er", "Er", "Er", "Er", "Er", "Er", "Er", "Er", "Er", "Er", "Tl", "Tl", "Tl", "Tl", "Ru", "Ru", "Ru", "Ru", "Pt", "Pt"], "frac_coords": [[0.0000, 0.5000, 0.0000], [0.0676, 0.1978, 0.0000], [0.1978, 0.9324, 0.0000], [0.3022, 0.4324, 0.0000], [0.4324, 0.6978, 0.0000], [0.5000, 0.0000, 0.0000], [0.5676, 0.3022, 0.0000], [0.6978, 0.5676, 0.0000], [0.8022, 0.0676, 0.0000], [0.9324, 0.8022, 0.0000], [0.1778, 0.6778, 0.5000], [0.3222, 0.1778, 0.5000], [0.6778, 0.8222, 0.5000], [0.8222, 0.3222, 0.5000], [0.1351, 0.3649, 0.5000], [0.3649, 0.8649, 0.5000], [0.6351, 0.1351, 0.5000], [0.8649, 0.6351, 0.5000], [0.0000, 0.0000, 0.5000], [0.5000, 0.5000, 0.5000]]}


[5]
{"formula": "ErZnRuPt", "functional": "PBE", "state": "relaxed", "magmom_total_mub_per_atom": 0.000, "dos_ef_per_ev_atom": 0.49, "formation_energy_ev_per_atom": -0.51, "cell": [[6.4720, 0.0000, 0.0000], [0.0000, 6.4720, 0.0000], [0.0000, 0.0000, 6.4720]], "species": ["Er", "Er", "Er", "Er", "Zn", "Zn", "Zn", "Zn", "Ru", "Ru", "Ru", "Ru", "Pt", "Pt", "Pt", "Pt"], "frac_coords": [[0.0000, 0.0000, 0.0000], [0.0000, 0.5000, 0.5000], [0.5000, 0.0000, 0.5000], [0.5000, 0.5000, 0.0000], [0.0000, 0.0000, 0.5000], [0.0000, 0.5000, 0.0000], [0.5000, 0.0000, 0.0000], [0.5000, 0.5000, 0.5000], [0.2500, 0.2500, 0.2500], [0.2500, 0.7500, 0.7500], [0.7500, 0.2500, 0.7500], [0.7500, 0.7500, 0.2500], [0.2500, 0.2500, 0.7500], [0.2500, 0.7500, 0.2500], [0.7500, 0.2500, 0.2500], [0.7500, 0.7500, 0.7500]]}


[6]
{"formula": "ErPtS", "functional": "PBE", "state": "relaxed", "magmom_total_mub_per_atom": 0.000, "energy_ev_per_atom": -6.2528, "cell": [[2.1816, 1.2595, 8.0004], [-2.1816, 1.2595, 8.0004], [0.0000, -2.5190, 8.0004]], "species": ["Er", "Er", "Pt", "Pt", "S", "S"], "frac_coords": [[0.0881, 0.0881, 0.0881], [0.9119, 0.9119, 0.9119], [0.3337, 0.3337, 0.3337], [0.6663, 0.6663, 0.6663], [0.2087, 0.2087, 0.2087], [0.7913, 0.7913, 0.7913]]}